# NaAs6Pd

A geometry-optimized NaAs6Pd structure (PBE, the Alexandria database).

The calculation puts the calculated volume at 26.296 Å³/atom. The energy of formation is -1.207 eV/f.u.

Structure (POSCAR):
```
NaAs6Pd
1.0
-2.1638 7.1878 5.0806
2.8287 -4.6192 2.5174
4.3276 3.0061 2.8126
Na As Pd
1 6 1
Direct
0.0000 0.0000 0.0000
0.8585 0.4967 0.5033
0.3600 0.9945 0.4966
0.1415 0.5033 0.4967
0.6400 0.4966 0.9945
0.6400 0.0055 0.5034
0.3600 0.5034 0.0055
0.5000 0.0000 0.0000
```

# NaAsPd2

A geometry-optimized NaAsPd2 structure (PBE, the Alexandria database).

The calculation puts the calculated volume at 16.315 Å³/atom. The energy of formation is -0.965 eV/f.u.

Structure (POSCAR):
```
NaAsPd2
1.0
-2.2555 -2.3956 -0.4831
2.8837 -2.2025 -2.5410
1.5104 -2.1423 3.5711
Na As Pd
1 1 2
Direct
0.5000 0.5000 0.5000
0.5000 0.0000 0.0000
0.0000 0.0000 0.5000
0.0000 0.5000 0.0000
```

# Na2As2Pd3

A geometry-optimized Na2As2Pd3 structure (PBE, the Alexandria database).

The calculation puts the calculated volume at 20.148 Å³/atom. The energy of formation is -3.015 eV/f.u.

Structure (POSCAR):
```
Na2As2Pd3
1.0
3.9425 0.0000 0.0000
-1.9712 5.4569 -0.2252
0.0000 -2.7897 6.6708
Na As Pd
2 2 3
Direct
0.8784 0.7568 0.2392
0.1216 0.2432 0.7608
0.8480 0.6960 0.7842
0.1520 0.3040 0.2158
0.5000 0.0000 0.0000
0.6513 0.3026 0.4207
0.3487 0.6974 0.5793
```

# NaAs3Pd3

A geometry-optimized NaAs3Pd3 structure (PBE, the Alexandria database).

The calculation puts the calculated volume at 19.254 Å³/atom. The energy of formation is -1.606 eV/f.u.

Structure (POSCAR):
```
NaAs3Pd3
1.0
-0.3597 -7.6749 1.4136
5.6404 -3.4783 4.1375
-0.8294 -2.8048 6.1481
Na As Pd
2 6 6
Direct
0.3387 0.3387 0.9838
0.6613 0.6613 0.0162
0.4569 0.7640 0.6806
0.7640 0.0985 0.6806
0.0985 0.4569 0.6806
0.9015 0.5431 0.3194
0.2360 0.9015 0.3194
0.5431 0.2360 0.3194
0.2008 0.6796 0.1918
0.9279 0.2008 0.1918
0.6796 0.9279 0.1918
0.3204 0.0721 0.8082
0.0721 0.7992 0.8082
0.7992 0.3204 0.8082
```

no.,electronic total energy (eV per formula unit)
1,-35.62
2,-17.32
3,-30.53
4,-32.45